1.
The following is a PBE-GGA calculation of an optimized crystal structure of ErZnTe2O8, from the Alexandria database.

a b c (Å): 6.0731 6.0731 6.0731
angles (deg): 108.04 108.04 112.36
Element x y z (fractional)
O 0.3120 0.5025 0.1905
O 0.3589 0.0531 0.3059
O 0.9469 0.2528 0.3059
O 0.4975 0.6880 0.8095
O 0.7472 0.0531 0.6941
O 0.3120 0.1214 0.8095
O 0.8786 0.6880 0.1905
O 0.9469 0.6411 0.6941
Zn 0.0000 0.0000 0.0000
Er 0.2500 0.7500 0.5000
Te 0.5000 0.5000 0.0000
Te 0.7500 0.2500 0.5000

Summary:
total energy = -68.31 eV per cell

***

2.
The following is a PBE-GGA calculation of an optimized crystal structure of ErZrTeO6, from the Alexandria database.

a b c (Å): 5.4830 5.4830 9.5822
angles (deg): 90.00 90.00 120.00
Element x y z (fractional)
Zr 0.3333 0.6667 0.2500
Zr 0.6667 0.3333 0.7500
Er 0.0000 0.0000 0.0000
Er 0.0000 0.0000 0.5000
Te 0.3333 0.6667 0.7500
Te 0.6667 0.3333 0.2500
O 0.3513 0.3428 0.3650
O 0.6487 0.9915 0.8650
O 0.3428 0.9915 0.6350
O 0.0085 0.3513 0.6350
O 0.3513 0.0085 0.1350
O 0.6487 0.6572 0.6350
O 0.6572 0.6487 0.1350
O 0.9915 0.3428 0.1350
O 0.3428 0.3513 0.8650
O 0.0085 0.6572 0.8650
O 0.6572 0.0085 0.3650
O 0.9915 0.6487 0.3650

Summary:
total energy = -135.20 eV per cell

***

3.
The following is a PBE-GGA calculation of an optimized crystal structure of ErThO4, from the Alexandria database.

a b c (Å): 3.7359 3.7359 6.1634
angles (deg): 90.00 90.00 90.00
Element x y z (fractional)
Th 0.0000 0.0000 0.5000
O 0.5000 0.0000 0.7521
O 0.0000 0.5000 0.2479
O 0.0000 0.5000 0.7521
O 0.5000 0.0000 0.2479
Er 0.0000 0.0000 0.0000

Summary:
total energy = -49.06 eV per cell